LiZr2UAs4 | PBE | optimized geometry

Summary:
The total energy comes out at -56.17 eV for the cell shown. Its formation energy is -87.8 kJ/mol of atoms.

a b c (Å): 6.6635 3.8873 6.9406
angles (deg): 90.00 108.25 90.00
Space group P2/m (No. 10)
One atom of each set of equivalent atoms:
Li (0.0000, 0.0000, 0.0000) (multiplicity 1)
Zr (0.0000, 0.5000, 0.5000) (multiplicity 1)
Zr (0.5000, 0.0000, 0.5000) (multiplicity 1)
U (0.5000, 0.5000, 0.0000) (multiplicity 1)
As (0.2410, 0.0000, 0.7442) (multiplicity 2)
As (0.2502, 0.5000, 0.2542) (multiplicity 2)